This record from the Alexandria database describes crystalline Dy12Co5Bi at its relaxed geometry. The functional is PBEsol.

Output
energy = -5.993 eV per atom
N(E_F) = 11.1 states/eV/f.u.

Cell lengths 9.2613, 9.2896, 9.7100 Å; angles 90.00, 90.00, 90.00 degrees
Space group Immm (No. 71)
Inequivalent atoms, fractional coordinates:
Dy: 0.0000 0.1937 0.2049 (multiplicity 8)
Dy: 0.1915 0.5000 0.1883 (multiplicity 8)
Dy: 0.2098 0.3159 0.5000 (multiplicity 8)
Co: 0.0000 0.0000 0.0000 (multiplicity 2)
Co: 0.0000 0.3767 0.0000 (multiplicity 4)
Co: 0.0000 0.5000 0.3880 (multiplicity 4)
Bi: 0.0000 0.0000 0.5000 (multiplicity 2)